# 1
## Tm4Ni2Sn (GGA-PBE)

Data for crystalline Tm4Ni2Sn at its relaxed geometry.

a = 6.5260 Å, b = 6.5267 Å, c = 8.6991 Å
α = 108.92°, β = 108.92°, γ = 97.83°
Fractional coordinates of all 14 atoms:
Tm 0.4587 0.7443 0.8684
Tm 0.8763 0.5905 0.1320
Tm 0.2470 0.1954 0.7819
Tm 0.8402 0.6260 0.6317
Tm 0.4133 0.4649 0.2177
Tm 0.9940 0.2086 0.3679
Tm 0.7151 0.1635 0.7181
Tm 0.4455 0.9972 0.2824
Ni 0.1175 0.5687 0.9347
Ni 0.8188 0.8678 0.4348
Ni 0.6338 0.1830 0.0650
Ni 0.4327 0.3839 0.5652
Sn 0.0035 0.0031 0.0000
Sn 0.2536 0.7530 0.5001

Values from the calculation:
As for the spin magnetization: 0.000 μB per atom. The crystal system is orthorhombic. The value obtained for the energy relative to the elements is -0.44 eV/atom. Its space group is Fdd2, No. 43. The value obtained for the volume is 22.8 Å³ per atom.

# 2
## TmNiSn2 (GGA-PBE)

Data for crystalline TmNiSn2 at its relaxed geometry.

a = 4.3393 Å, b = 4.3981 Å, c = 4.3981 Å
α = 90.00°, β = 90.00°, γ = 90.00°
Fractional coordinates of all 4 atoms:
Sn 0.0000 0.5000 0.0000
Sn 0.0000 0.0000 0.5000
Ni 0.5000 0.5000 0.5000
Tm 0.5000 0.0000 0.0000

Values from the calculation:
As for the spin magnetization: 0.000 μB per atom. The crystal system is tetragonal. The value obtained for the energy relative to the elements is -0.30 eV/atom. Its space group is P4/mmm, No. 123. The value obtained for the volume is 21.0 Å³ per atom.

# 3
## TmNiSn6 (GGA-PBE)

Data for crystalline TmNiSn6 at its relaxed geometry.

a = 5.8618 Å, b = 5.8618 Å, c = 6.4787 Å
α = 98.34°, β = 98.34°, γ = 105.26°
Fractional coordinates of all 8 atoms:
Ni 0.5000 0.5000 0.5000
Sn 0.5893 0.1969 0.2053
Sn 0.8004 0.8004 0.3660
Sn 0.1969 0.5893 0.2053
Sn 0.1996 0.1996 0.6340
Sn 0.8031 0.4107 0.7947
Sn 0.4107 0.8031 0.7947
Tm 0.0000 0.0000 0.0000

Values from the calculation:
As for the spin magnetization: 0.000 μB per atom. The crystal system is monoclinic. The value obtained for the energy relative to the elements is -0.12 eV/atom. Its space group is C2/m, No. 12. The value obtained for the volume is 26.1 Å³ per atom.

# 4
## TmNi9Sn2 (GGA-PBE)

Data for crystalline TmNi9Sn2 at its relaxed geometry.

a = 4.8561 Å, b = 8.1986 Å, c = 8.1987 Å
α = 90.00°, β = 90.00°, γ = 90.00°
Fractional coordinates of all 24 atoms:
Tm 0.0000 0.0000 0.0000
Tm 0.0000 0.5000 0.5000
Ni 0.5000 0.4351 0.7043
Ni 0.5000 0.5649 0.2957
Ni 0.7544 0.1741 0.6741
Ni 0.5000 0.2957 0.4351
Ni 0.2456 0.1741 0.6741
Ni 0.5000 0.0649 0.2043
Ni 0.2456 0.3259 0.1741
Ni 0.5000 0.9351 0.7957
Ni 0.2456 0.6741 0.8259
Ni 0.7544 0.6741 0.8259
Ni 0.7544 0.8259 0.3259
Ni 0.5000 0.2043 0.9351
Ni 0.7544 0.3259 0.1741
Ni 0.2456 0.8259 0.3259
Ni 0.5000 0.0000 0.5000
Ni 0.5000 0.7957 0.0649
Ni 0.5000 0.7043 0.5649
Ni 0.5000 0.5000 0.0000
Sn 0.0000 0.6283 0.1283
Sn 0.0000 0.3717 0.8717
Sn 0.0000 0.1283 0.3717
Sn 0.0000 0.8717 0.6283

Values from the calculation:
As for the spin magnetization: 0.000 μB per atom. The crystal system is tetragonal. The value obtained for the energy relative to the elements is -0.24 eV/atom. Its energy above the most stable polymorph in this dataset is 0.00 eV per formula unit. Its space group is P4/mbm, No. 127. The value obtained for the volume is 13.6 Å³ per atom.